(1)
A relaxed structure of ZrCdW2I, computed with GGA-PBE.

The structure belongs to space group P4/mmm (No. 123); the cell edges are 4.885, 4.885 and 5.304 Å and the angles 90.00°, 90.00° and 90.00°. The inequivalent atoms are Zr at (0.000, 0.000, 0.000), Cd at (0.500, 0.500, 0.000), W at (0.000, 0.500, 0.500) and I at (0.500, 0.500, 0.500).

As for the total magnetization: 0.00 μB/atom. For the polymorph energy (0 for the lowest one), the calculation gives 134 meV per atom.

=====

(2)
A relaxed structure of Er3Tm7, computed with GGA-PBE.

The structure belongs to space group P6_3mc (No. 186); the cell edges are 10.6227, 10.6227 and 6.2915 Å and the angles 90.00°, 90.00° and 120.00°. The inequivalent atoms are Er at (0.2077, 0.4154, 0.0000), Tm at (0.0583, 0.5292, 0.6512), Tm at (0.1201, 0.2402, 0.4839) and Tm at (0.3333, 0.6667, 0.3530).

The energy of formation is 0.205 eV per atom. As for the total magnetization: 0.00 μB/atom. For the polymorph energy (0 for the lowest one), the calculation gives 181 meV per atom.

=====

(3)
A relaxed structure of Ba2TePt, computed with GGA-PBE.

The structure belongs to space group I-42d (No. 122); the cell edges are 8.523, 8.523 and 9.424 Å and the angles 90.00°, 90.00° and 90.00°. The inequivalent atoms are Ba at (0.217, 0.250, 0.125), Te at (0.000, 0.000, 0.500) and Pt at (0.000, 0.000, 0.000).

As for the total magnetization: 0.00 μB/atom.

=====

The records above yield calculated total energy values of -5.12 -4.29 -4.24 eV/atom, respectively.